Below is crystalline Ho2MnCrO6 at its relaxed geometry, with properties calculated at the PBE with a Hubbard U level.

Structure (POSCAR):
```
Ho2MnCrO6
1.0
5.434 0.008 0.017
2.725 4.720 -0.013
2.729 1.572 4.490
Ho Mn Cr O
2 1 1 6
direct
0.539 0.540 0.378
0.041 0.041 0.880
0.816 0.816 0.552
0.315 0.315 0.054
0.590 0.166 0.277
0.167 0.966 0.275
0.965 0.593 0.277
0.469 0.667 0.774
0.671 0.088 0.773
0.089 0.468 0.775
```

Output
For the total magnetic moment, the calculation gives 5.0 μB per formula unit. For the uncorrected energy, the calculation gives -7.938 eV per atom.